First-principles (GGA-PBE) data for AcLa3TbTm after structural relaxation, as listed in Alexandria.

## Properties
Energy relative to the elements (eV/atom): 0.042
Calculated density (Mg/m³): 7.40
D(E_F) (states/eV/atom): 1.876
SG: P2_1/m

abc: 5.301 8.202 11.099
angles: 115.43 90.00 90.00
Atoms (fractional coordinates):
La1 0.750 0.868 0.041
Ac1 0.750 0.880 0.706
Ac2 0.250 0.120 0.294
Tb1 0.250 0.622 0.124
La2 0.250 0.618 0.793
Tb2 0.750 0.378 0.876
Tm1 0.250 0.128 0.627
Tm2 0.750 0.872 0.373
La3 0.250 0.132 0.959
La4 0.750 0.382 0.207
La5 0.750 0.372 0.546
La6 0.250 0.628 0.454

---

First-principles (GGA-PBE) data for ScBeTlAs2 after structural relaxation, as listed in Alexandria.

## Properties
Energy relative to the elements (eV/atom): 0.192
Calculated density (Mg/m³): 6.51
D(E_F) (states/eV/atom): 0.611
SG: P4/mmm

abc: 4.706 4.699 4.706
angles: 90.00 90.00 90.00
Atoms (fractional coordinates):
Be1 0.000 0.000 0.000
As1 0.500 0.000 0.000
Sc1 0.500 0.500 0.500
Tl1 0.000 0.500 0.000
As2 0.000 0.000 0.500